[1]
Below is an optimized crystal structure of ScHg2Br, with properties calculated at the PBEsol level.

Geometry as POSCAR:
```
ScHg2Br
1.0
5.659 0.000 0.000
0.000 9.481 0.000
0.000 0.000 3.424
Sc Hg Br
2 4 2
Direct
0.000 0.000 0.000 Sc
0.500 0.500 0.000 Sc
0.250 0.250 0.500 Hg
0.250 0.750 0.500 Hg
0.750 0.250 0.500 Hg
0.750 0.750 0.500 Hg
0.000 0.500 0.000 Br
0.500 0.000 0.000 Br
```

Output
Density of states at the Fermi level = 5.2 states/eV per cell
Space-group type = Cmmm (65)
Excess energy over the best structure of this formula in the dataset = 0 meV per atom

---

[2]
Below is an optimized crystal structure of RbTl2Pt2, with properties calculated at the PBEsol level.

Geometry as POSCAR:
```
RbTl2Pt2
1.0
3.879 0.000 0.000
0.000 3.879 0.000
0.000 0.000 17.768
Rb Tl Pt
2 4 4
Direct
0.000 0.000 0.000 Rb
0.500 0.500 0.500 Rb
0.000 0.000 0.363 Tl
0.000 0.000 0.637 Tl
0.500 0.500 0.137 Tl
0.500 0.500 0.863 Tl
0.000 0.500 0.250 Pt
0.000 0.500 0.750 Pt
0.500 0.000 0.250 Pt
0.500 0.000 0.750 Pt
```

Output
Density of states at the Fermi level = 3.5 states/eV per cell
E_tot = -0.15230 hartree per atom
Space-group type = I4/mmm (139)

---

[3]
Below is an optimized crystal structure of Cu2RhAu, with properties calculated at the PBEsol level.

Geometry as POSCAR:
```
Cu2RhAu
1.0
3.915 0.000 0.000
0.000 3.915 0.000
0.000 0.000 6.952
Cu Rh Au
4 2 2
Direct
0.000 0.500 0.250 Cu
0.000 0.500 0.750 Cu
0.500 0.000 0.250 Cu
0.500 0.000 0.750 Cu
0.000 0.000 0.000 Rh
0.500 0.500 0.500 Rh
0.000 0.000 0.500 Au
0.500 0.500 0.000 Au
```

Output
Density of states at the Fermi level = 7.9 states/eV per cell
E_tot = -0.18844 hartree per atom
Space-group type = I4/mmm (139)

---

[4]
Below is an optimized crystal structure of Fe5C2, with properties calculated at the PBEsol level.

Geometry as POSCAR:
```
Fe5C2
1.0
5.711 -2.217 0.000
5.711 2.217 0.000
-0.637 0.000 4.867
Fe C
10 4
Direct
0.069 0.931 0.750 Fe
0.131 0.298 0.309 Fe
0.298 0.131 0.809 Fe
0.316 0.488 0.081 Fe
0.488 0.316 0.581 Fe
0.512 0.684 0.419 Fe
0.684 0.512 0.919 Fe
0.702 0.869 0.191 Fe
0.869 0.702 0.691 Fe
0.931 0.069 0.250 Fe
0.073 0.700 0.421 C
0.300 0.927 0.079 C
0.700 0.073 0.921 C
0.927 0.300 0.579 C
```

Output
Density of states at the Fermi level = 12.1 states/eV per cell
E_tot = -0.33771 hartree per atom
Space-group type = C2/c (15)

---

[5]
Below is an optimized crystal structure of KRb2Na2, with properties calculated at the PBEsol level.

Geometry as POSCAR:
```
KRb2Na2
1.0
11.699 0.000 0.000
0.000 11.699 0.000
0.000 0.000 4.534
K Rb Na
2 4 4
Direct
0.000 0.000 0.000 K
0.500 0.500 0.000 K
0.138 0.362 0.000 Rb
0.362 0.862 0.000 Rb
0.638 0.138 0.000 Rb
0.862 0.638 0.000 Rb
0.161 0.661 0.500 Na
0.339 0.161 0.500 Na
0.661 0.839 0.500 Na
0.839 0.339 0.500 Na
```

Output
Density of states at the Fermi level = 7.1 states/eV per cell
Space-group type = P4/mbm (127)
Excess energy over the best structure of this formula in the dataset = 7 meV per atom

---

[6]
Below is an optimized crystal structure of LuGa, with properties calculated at the PBEsol level.

Geometry as POSCAR:
```
LuGa
1.0
4.173 0.000 0.000
0.000 10.474 0.000
0.000 0.000 3.926
Lu Ga
4 4
Direct
0.000 0.140 0.250 Lu
0.000 0.860 0.750 Lu
0.500 0.360 0.750 Lu
0.500 0.640 0.250 Lu
0.000 0.422 0.250 Ga
0.000 0.578 0.750 Ga
0.500 0.078 0.750 Ga
0.500 0.922 0.250 Ga
```

Output
Density of states at the Fermi level = 5.8 states/eV per cell
E_tot = -0.17461 hartree per atom
Space-group type = Cmcm (63)